1.
Here is Nd5DyHo4 after structural relaxation from the Alexandria database. Energies are from PBE.

a = 6.8049 Å, b = 9.1010 Å, c = 11.5110 Å
α = 90.00°, β = 90.00°, γ = 90.00°
Closest atoms and distances in Å follow each position.
Space group Pmmn (No. 59, origin choice 2)
Asymmetric unit:
Nd: 0.0019 0.0640 0.2195 (multiplicity 8)  4 Nd 3.38-3.43, 3 Ho 3.46-3.58, 1 Dy 3.50
Nd: 0.2500 0.2500 0.7127 (multiplicity 2)  4 Ho 3.12-3.30, 2 Dy 3.42, 4 Nd 3.42
Dy: 0.2500 0.7500 0.3169 (multiplicity 2)  4 Ho 3.39-3.57, 6 Nd 3.42-3.50
Ho: 0.0031 0.7500 0.0430 (multiplicity 4)  5 Nd 3.30-3.51, 2 Ho 3.36-3.44, 1 Dy 3.57
Ho: 0.2500 0.0478 0.4938 (multiplicity 4)  1 Nd 3.12, 1 Dy 3.39

Computed properties:
For the total energy, the calculation gives -86.38 eV per cell. The formation energy is 0.356 eV/atom. For the energy relative to the lowest polymorph listed for this composition, the calculation gives 296 meV per atom. The density of states at the Fermi level is 1.592 states/eV/atom.

=====

2.
Here is NdDyHo4 after structural relaxation from the Alexandria database. Energies are from PBE.

a = 9.2994 Å, b = 9.2994 Å, c = 9.2994 Å
α = 90.00°, β = 90.00°, γ = 90.00°
Closest atoms and distances in Å follow each position.
Space group F-43m (No. 216)
Asymmetric unit:
Nd: 0.0000 0.0000 0.0000 (multiplicity 4)  12 Ho 3.86, 4 Dy 4.03
Dy: 0.2500 0.2500 0.7500 (multiplicity 4)  12 Ho 3.85, 4 Nd 4.03
Ho: 0.1247 0.1247 0.3753 (multiplicity 16)  6 Ho 3.28-3.30

Computed properties:
For the total energy, the calculation gives -104.03 eV per cell. The formation energy is 0.279 eV/atom. For the energy relative to the lowest polymorph listed for this composition, the calculation gives 258 meV per atom. The density of states at the Fermi level is 2.044 states/eV/atom.